Compound: CsCrN2
Source: Alexandria
Functional: meta-GGA SCAN
Structure: single point on PBEsol structure

abc: 5.7388 5.7388 5.7388
angles: 60.00 60.00 60.00
Sites, in units of the cell vectors:
Cs1 0.5000 0.5000 0.5000
Cs2 0.7500 0.7500 0.7500
N1 0.1250 0.1250 0.1250
N2 0.6250 0.1250 0.1250
N3 0.1250 0.6250 0.1250
N4 0.1250 0.1250 0.6250
Cr1 0.2500 0.2500 0.2500
Cr2 0.0000 0.0000 0.0000

Properties
M_tot = 0.000 μB/atom
space-group type = Fd-3m
formation energy (no corrections) = -641 meV per atom

Compound: CsCrN2O
Source: Alexandria
Functional: meta-GGA SCAN
Structure: single point on PBEsol structure

abc: 4.2175 4.3867 4.3867
angles: 90.00 90.00 90.00
Last column: magnetic moment on the atom in μB.
Sites, in units of the cell vectors:
N1 0.0000 0.5000 0.0000  -0.42
N2 0.0000 0.0000 0.5000  -0.42
Cr1 0.5000 0.5000 0.5000  4.08
O1 0.5000 0.0000 0.0000  0.01
Cs1 0.0000 0.0000 0.0000  0.00

Properties
M_tot = 0.665 μB/atom
space-group type = P4/mmm
formation energy (no corrections) = 2239 meV per atom

Compound: CsCrSe2N
Source: Alexandria
Functional: meta-GGA SCAN
Structure: single point on PBEsol structure

abc: 4.4317 5.6615 5.6615
angles: 90.00 90.00 90.00
Last column: magnetic moment on the atom in μB.
Sites, in units of the cell vectors:
Se1 0.0000 0.0000 0.5000  -0.07
Se2 0.0000 0.5000 0.0000  -0.07
Cs1 0.0000 0.0000 0.0000  -0.25
N1 0.5000 0.0000 0.0000  0.86
Cr1 0.5000 0.5000 0.5000  4.25

Properties
M_tot = 1.152 μB/atom
space-group type = P4/mmm
formation energy (no corrections) = 1802 meV per atom

Compound: CsCrTe2N
Source: Alexandria
Functional: meta-GGA SCAN
Structure: single point on PBEsol structure

abc: 3.5422 5.9785 5.9785
angles: 90.00 90.00 90.00
Last column: magnetic moment on the atom in μB.
Sites, in units of the cell vectors:
N1 0.5000 0.0000 0.0000  -0.56
Te1 0.0000 0.5000 0.0000  -0.14
Te2 0.0000 0.0000 0.5000  -0.14
Cs1 0.5000 0.5000 0.5000  0.00
Cr1 0.0000 0.0000 0.0000  2.65

Properties
M_tot = 0.331 μB/atom
space-group type = P4/mmm
formation energy (no corrections) = -142 meV per atom